[1]
Here is a relaxed structure of CeMgHgSb from Alexandria via LeMat-Bulk. Energies are from PBE-GGA.

Formation energy (no corrections) in eV per atom: -0.5301
Energy above the lowest structure with this stoichiometry in meV/atom: 0
Final energy in eV/atom: -3.518

a = 4.258 Å, b = 4.689 Å, c = 5.176 Å
α = 90.00°, β = 90.00°, γ = 90.00°
Space group Pmmm (No. 47)
Inequivalent atoms, fractional coordinates:
1 Ce 0.000 0.000 0.000 (multiplicity 1)
2 Mg 0.000 0.500 0.500 (multiplicity 1)
3 Hg 0.500 0.000 0.500 (multiplicity 1)
4 Sb 0.500 0.500 0.000 (multiplicity 1)

[2]
Here is a relaxed structure of Tb6Nd12Tm from Alexandria via LeMat-Bulk. Energies are from PBE-GGA.

Calculated formation energy in eV per atom: 0.2334
Energy above the lowest structure with this stoichiometry in meV/atom: 101
Final energy in eV/atom: -4.475

a = 14.8813 Å, b = 14.8813 Å, c = 10.4873 Å
α = 90.00°, β = 90.00°, γ = 120.00°
Space group R-3 (No. 148, hexagonal axes)
Inequivalent atoms, fractional coordinates:
1 Tb 0.0489 0.8408 0.2591 (multiplicity 18)
2 Nd 0.0505 0.7978 0.5771 (multiplicity 18)
3 Nd 0.0655 0.8360 0.9210 (multiplicity 18)
4 Tm 0.0000 0.0000 0.5000 (multiplicity 3)

[3]
Here is a relaxed structure of Pm2Pr7Dy from Alexandria via LeMat-Bulk. Energies are from PBE-GGA.

Calculated formation energy in eV per atom: 0.6107
Energy above the lowest structure with this stoichiometry in meV/atom: 254
Final energy in eV/atom: -4.145

a = 8.873 Å, b = 17.003 Å, c = 5.570 Å
α = 90.00°, β = 90.00°, γ = 90.00°
Space group Cmmm (No. 65)
Inequivalent atoms, fractional coordinates:
1 Pm 0.000 0.205 0.000 (multiplicity 4)
2 Pr 0.000 0.000 0.000 (multiplicity 2)
3 Pr 0.000 0.283 0.500 (multiplicity 4)
4 Pr 0.181 0.389 0.000 (multiplicity 8)
5 Dy 0.000 0.500 0.500 (multiplicity 2)

[4]
Here is a relaxed structure of TaVCr2 from Alexandria via LeMat-Bulk. Energies are from PBE-GGA.

Calculated formation energy in eV per atom: 0.1424
Energy above the lowest structure with this stoichiometry in meV/atom: 171
Final energy in eV/atom: -9.912

a = 5.052 Å, b = 4.446 Å, c = 9.940 Å
α = 90.00°, β = 90.00°, γ = 90.00°
Space group Pnma (No. 62)
Inequivalent atoms, fractional coordinates:
1 Ta 0.198 0.250 0.182 (multiplicity 4)
2 V 0.090 0.250 0.917 (multiplicity 4)
3 Cr 0.024 0.250 0.685 (multiplicity 4)
4 Cr 0.149 0.250 0.473 (multiplicity 4)

[5]
Here is a relaxed structure of Sr2CdAg4Hg3 from Alexandria via LeMat-Bulk. Energies are from PBE-GGA.

Calculated formation energy in eV per atom: -0.2303
Final energy in eV/atom: -1.889

a = 4.400 Å, b = 4.400 Å, c = 13.209 Å
α = 90.00°, β = 90.00°, γ = 90.00°
Space group P-4m2 (No. 115)
Inequivalent atoms, fractional coordinates:
1 Sr 0.000 0.500 0.249 (multiplicity 2)
2 Cd 0.500 0.500 0.000 (multiplicity 1)
3 Ag 0.000 0.000 0.500 (multiplicity 1)
4 Ag 0.000 0.500 0.855 (multiplicity 2)
5 Ag 0.500 0.500 0.500 (multiplicity 1)
6 Hg 0.000 0.000 0.000 (multiplicity 1)
7 Hg 0.000 0.500 0.643 (multiplicity 2)

[6]
Here is a relaxed structure of SrHf2NbO from Alexandria via LeMat-Bulk. Energies are from PBE-GGA.

Formation energy (no corrections) in eV per atom: 0.3670
Final energy in eV/atom: -6.956

a = 5.653 Å, b = 5.653 Å, c = 3.973 Å
α = 90.00°, β = 90.00°, γ = 90.00°
Space group P4/mmm (No. 123)
Inequivalent atoms, fractional coordinates:
1 Sr 0.000 0.000 0.000 (multiplicity 1)
2 Hf 0.000 0.500 0.500 (multiplicity 2)
3 Nb 0.500 0.500 0.500 (multiplicity 1)
4 O 0.500 0.500 0.000 (multiplicity 1)

[7]
Here is a relaxed structure of BaYTi2W from Alexandria via LeMat-Bulk. Energies are from PBE-GGA.

Calculated formation energy in eV per atom: 0.6693
Final energy in eV/atom: -6.757

a = 5.007 Å, b = 5.007 Å, c = 5.620 Å
α = 90.00°, β = 90.00°, γ = 90.00°
Space group P4/mmm (No. 123)
Inequivalent atoms, fractional coordinates:
1 Ba 0.000 0.000 0.000 (multiplicity 1)
2 Y 0.500 0.500 0.000 (multiplicity 1)
3 Ti 0.000 0.500 0.500 (multiplicity 2)
4 W 0.500 0.500 0.500 (multiplicity 1)

[8]
Here is a relaxed structure of SrLiNi2 from Alexandria via LeMat-Bulk. Energies are from PBE-GGA.

Calculated formation energy in eV per atom: 0.2695
Energy above the lowest structure with this stoichiometry in meV/atom: 272
Final energy in eV/atom: -3.520

a = 3.275 Å, b = 3.275 Å, c = 7.387 Å
α = 90.00°, β = 90.00°, γ = 90.00°
Space group P4mm (No. 99)
Inequivalent atoms, fractional coordinates:
1 Sr 0.000 0.000 0.000 (multiplicity 1)
2 Li 0.500 0.500 0.392 (multiplicity 1)
3 Ni 0.000 0.000 0.611 (multiplicity 1)
4 Ni 0.500 0.500 0.717 (multiplicity 1)

Which value of final energy does entry 2 give?
-4.475 eV/atom

Look up the final energy of the third one.
-4.145 eV/atom